BaNi2O | PBE with a Hubbard U | optimized geometry

Calculated values
Electronic total energy (eV per atom): -3.205
SG: I4_1/amd (141)

Cell lengths 5.966, 5.966, 5.966 Å; angles 120.06, 120.06, 89.89 degrees
Positions (direct):
Ba (0.375, 0.625, 0.750)
Ba (0.625, 0.375, 0.250)
Ni (0.000, 0.000, 0.000)
Ni (0.000, 0.000, 0.500)
Ni (0.000, 0.500, 0.000)
Ni (0.500, 0.000, 0.500)
O (0.125, 0.875, 0.250)
O (0.875, 0.125, 0.750)